# Re2SBr | the Alexandria database | GGA-PBE | relaxed
data_Re2SBr
_chemical_formula_sum 'Re8 S4 Br4'
_space_group_name_H-M_alt 'I -4 2 d'
_space_group_IT_number 122
_space_group_name_Hall 'I -4 2bw'
_cell_length_a 5.342
_cell_length_b 5.342
_cell_length_c 11.143
_cell_angle_alpha 90.00
_cell_angle_beta 90.00
_cell_angle_gamma 90.00
loop_
_atom_site_label
_atom_site_type_symbol
_atom_site_fract_x
_atom_site_fract_y
_atom_site_fract_z
Re1 Re 0.210 0.250 0.125
S1 S 0.000 0.000 0.000
Br1 Br 0.000 0.000 0.500
# Final energy in eV per atom: -6.63
# Formation energy from raw total energies in kcal/mol of atoms: 24.1
# Offset from the most stable computed form in kcal/mol of atoms: 0.000
# Spin magnetization in Bohr magnetons per cell: 0.0



# CdNiSn2Hg | the Alexandria database | GGA-PBE | relaxed
data_CdNiSn2Hg
_chemical_formula_sum 'Cd1 Ni1 Sn2 Hg1'
_space_group_name_H-M_alt 'P 4/m m m'
_space_group_IT_number 123
_space_group_name_Hall '-P 4 2'
_cell_length_a 4.978
_cell_length_b 4.978
_cell_length_c 5.101
_cell_angle_alpha 90.00
_cell_angle_beta 90.00
_cell_angle_gamma 90.00
loop_
_atom_site_label
_atom_site_type_symbol
_atom_site_fract_x
_atom_site_fract_y
_atom_site_fract_z
Cd1 Cd 0.000 0.000 0.000
Ni1 Ni 0.500 0.500 0.500
Sn1 Sn 0.000 0.500 0.500
Hg1 Hg 0.500 0.500 0.000
# DFT formation energy in eV per atom: 0.084
# Final energy in eV per atom: -2.92
# Offset from the most stable computed form in kcal/mol of atoms: 1.378
# Spin magnetization in Bohr magnetons per cell: 0.0



# Zr3MnRu2 | the Alexandria database | GGA-PBE | relaxed
data_Zr3MnRu2
_chemical_formula_sum 'Zr3 Mn1 Ru2'
_space_group_name_H-M_alt 'P 4/m m m'
_space_group_IT_number 123
_space_group_name_Hall '-P 4 2'
_cell_length_a 3.249
_cell_length_b 3.249
_cell_length_c 9.755
_cell_angle_alpha 90.00
_cell_angle_beta 90.00
_cell_angle_gamma 90.00
loop_
_atom_site_label
_atom_site_type_symbol
_atom_site_fract_x
_atom_site_fract_y
_atom_site_fract_z
Zr1 Zr 0.000 0.000 0.000
Zr2 Zr 0.000 0.000 0.340
Mn1 Mn 0.500 0.500 0.500
Ru1 Ru 0.500 0.500 0.167
# DFT formation energy in eV per atom: -0.451
# Final energy in eV per atom: -9.35
# Spin magnetization in Bohr magnetons per cell: 0.2



# KTmCoBr6 | the Alexandria database | GGA-PBE | relaxed
data_KTmCoBr6
_chemical_formula_sum 'K2 Tm2 Co2 Br12'
_space_group_name_H-M_alt 'C 1 2 1'
_space_group_IT_number 5
_cell_length_a 6.973
_cell_length_b 12.116
_cell_length_c 7.387
_cell_angle_alpha 90.00
_cell_angle_beta 90.27
_cell_angle_gamma 90.00
loop_
_space_group_symop_operation_xyz
'x,y,z'
'-x,y,-z'
'x+1/2,y+1/2,z'
'-x+1/2,y+1/2,-z'
loop_
_atom_site_label
_atom_site_type_symbol
_atom_site_fract_x
_atom_site_fract_y
_atom_site_fract_z
K1 K 0.000 0.000 0.000
Tm1 Tm 0.000 0.667 0.500
Co1 Co 0.000 0.333 0.500
Br1 Br 0.124 0.492 0.712
Br2 Br 0.172 0.189 0.708
Br3 Br 0.198 0.820 0.709
# Final energy in eV per atom: -3.82
# Formation energy from raw total energies in kcal/mol of atoms: -29.9
# Spin magnetization in Bohr magnetons per cell: 6.0



# Pr3HgPd4 | the Alexandria database | GGA-PBE | relaxed
data_Pr3HgPd4
_chemical_formula_sum 'Pr6 Hg2 Pd8'
_space_group_name_H-M_alt 'I m m m'
_space_group_IT_number 71
_space_group_name_Hall '-I 2 2'
_cell_length_a 3.959
_cell_length_b 6.759
_cell_length_c 15.017
_cell_angle_alpha 90.00
_cell_angle_beta 90.00
_cell_angle_gamma 90.00
loop_
_atom_site_label
_atom_site_type_symbol
_atom_site_fract_x
_atom_site_fract_y
_atom_site_fract_z
Pr1 Pr 0.000 0.000 0.000
Pr2 Pr 0.000 0.500 0.189
Hg1 Hg 0.000 0.000 0.500
Pd1 Pd 0.000 0.301 0.372
# DFT formation energy in eV per atom: -0.608
# Final energy in eV per atom: -5.03
# Spin magnetization in Bohr magnetons per cell: 0.0



# BaTc2Br | the Alexandria database | GGA-PBE | relaxed
data_BaTc2Br
_chemical_formula_sum 'Ba1 Tc2 Br1'
_space_group_name_H-M_alt 'P 4/m m m'
_space_group_IT_number 123
_space_group_name_Hall '-P 4 2'
_cell_length_a 3.946
_cell_length_b 3.946
_cell_length_c 6.446
_cell_angle_alpha 90.00
_cell_angle_beta 90.00
_cell_angle_gamma 90.00
loop_
_atom_site_label
_atom_site_type_symbol
_atom_site_fract_x
_atom_site_fract_y
_atom_site_fract_z
Ba1 Ba 0.000 0.000 0.000
Tc1 Tc 0.500 0.500 0.336
Br1 Br 0.000 0.000 0.500
# Final energy in eV per atom: -5.02
# Formation energy from raw total energies in kcal/mol of atoms: 24.6
# Offset from the most stable computed form in kcal/mol of atoms: 21.557
# Spin magnetization in Bohr magnetons per cell: 0.0



# LaIN2 | the Alexandria database | GGA-PBE | relaxed
data_LaIN2
_chemical_formula_sum 'La3 I3 N6'
_space_group_name_H-M_alt 'R -3 m'
_space_group_IT_number 166
_space_group_name_Hall '-R 3 2"'
_cell_length_a 3.6397
_cell_length_b 3.6397
_cell_length_c 20.8353
_cell_angle_alpha 90.00
_cell_angle_beta 90.00
_cell_angle_gamma 120.00
loop_
_atom_site_label
_atom_site_type_symbol
_atom_site_fract_x
_atom_site_fract_y
_atom_site_fract_z
La1 La 0.0000 0.0000 0.0000
I1 I 0.0000 0.0000 0.5000
N1 N 0.0000 0.0000 0.1144
# Final energy in eV per atom: -4.68
# Formation energy from raw total energies in kcal/mol of atoms: 25.5
# Offset from the most stable computed form in kcal/mol of atoms: 24.295
# Spin magnetization in Bohr magnetons per cell: 0.0



# Sm7HoTm12 | the Alexandria database | GGA-PBE | relaxed
data_Sm7HoTm12
_chemical_formula_sum 'Sm21 Ho3 Tm36'
_space_group_name_H-M_alt 'R -3'
_space_group_IT_number 148
_space_group_name_Hall '-R 3'
_cell_length_a 11.8533
_cell_length_b 11.8533
_cell_length_c 16.1037
_cell_angle_alpha 90.00
_cell_angle_beta 90.00
_cell_angle_gamma 120.00
loop_
_atom_site_label
_atom_site_type_symbol
_atom_site_fract_x
_atom_site_fract_y
_atom_site_fract_z
Sm1 Sm 0.0000 0.0000 0.0000
Sm2 Sm 0.0541 0.1892 0.2907
Ho1 Ho 0.0000 0.0000 0.5000
Tm1 Tm 0.0232 0.4488 0.2204
Tm2 Tm 0.0509 0.5861 0.5834
# DFT formation energy in eV per atom: 0.236
# Final energy in eV per atom: -4.33
# Offset from the most stable computed form in kcal/mol of atoms: 0.000
# Spin magnetization in Bohr magnetons per cell: 0.0



# Sc2Zn | the Alexandria database | GGA-PBE | relaxed
data_Sc2Zn
_chemical_formula_sum 'Sc8 Zn4'
_space_group_name_H-M_alt 'P a -3'
_space_group_IT_number 205
_space_group_name_Hall '-P 2ac 2ab 3'
_cell_length_a 6.570
_cell_length_b 6.570
_cell_length_c 6.570
_cell_angle_alpha 90.00
_cell_angle_beta 90.00
_cell_angle_gamma 90.00
loop_
_atom_site_label
_atom_site_type_symbol
_atom_site_fract_x
_atom_site_fract_y
_atom_site_fract_z
Sc1 Sc 0.157 0.157 0.157
Zn1 Zn 0.000 0.000 0.500
# DFT formation energy in eV per atom: 0.066
# Final energy in eV per atom: -4.58
# Spin magnetization in Bohr magnetons per cell: 0.0